Density functional theory data (PBE-GGA) for a relaxed structure of Ge2IO2.

The structure in extended XYZ format:
```
10
Lattice="-3.287 3.287 5.230 3.287 -3.287 5.230 3.287 3.287 -5.230" Properties=species:S:1:pos:R:3 pbc="T T T"
Ge 0.000 1.407 0.000
Ge -1.407 3.287 2.615
Ge 1.407 3.287 2.615
Ge 0.000 5.167 0.000
I 3.287 0.000 2.808
I 0.000 0.000 5.423
O 0.000 2.017 2.359
O 0.000 4.558 2.359
O -2.017 3.287 4.974
O 2.017 3.287 4.974
```

Values from the calculation:
Uncorrected formation energy = -0.6288 eV/atom
Total magnetic moment = 1.8 μB/cell